[1]
DFT (PBE) results for a relaxed structure of K2ZrNiSe.

Geometry as CIF:
```
data_K2ZrNiSe
_chemical_formula_sum 'K2 Zr1 Ni1 Se1'
_cell_length_a 6.426
_cell_length_b 6.426
_cell_length_c 4.278
_cell_angle_alpha 90.00
_cell_angle_beta 90.00
_cell_angle_gamma 90.00
_space_group_name_H-M_alt 'P 4/m m m'
_space_group_IT_number 123
_space_group_name_Hall '-P 4 2'
loop_
_atom_site_label
_atom_site_fract_x
_atom_site_fract_y
_atom_site_fract_z
K1 0.000 0.500 0.000
Zr1 0.000 0.000 0.500
Ni1 0.500 0.500 0.000
Se1 0.500 0.500 0.500
```

Uncorrected energy   -3.41 eV/atom
D(E_F)   6.94 states/eV/f.u.
Calculated volume   35.32 Å³/atom

=====

[2]
DFT (PBE) results for a relaxed structure of TmFeRu.

Geometry as CIF:
```
data_TmFeRu
_chemical_formula_sum 'Tm8 Fe8 Ru8'
_cell_length_a 4.829
_cell_length_b 8.946
_cell_length_c 9.016
_cell_angle_alpha 90.00
_cell_angle_beta 90.00
_cell_angle_gamma 90.00
_space_group_name_H-M_alt 'F m m m'
_space_group_IT_number 69
_space_group_name_Hall '-F 2 2'
loop_
_atom_site_label
_atom_site_fract_x
_atom_site_fract_y
_atom_site_fract_z
Tm1 0.000 0.000 0.155
Fe1 0.250 0.250 0.250
Ru1 0.000 0.168 0.500
```

D(E_F)   3.14 states/eV/f.u.
Calculated volume   16.23 Å³/atom
Energy relative to the elements   0.140 eV per atom

=====

[3]
DFT (PBE) results for a relaxed structure of PrY2ThSc4.

Geometry as CIF:
```
data_PrY2ThSc4
_chemical_formula_sum 'Pr1 Y2 Th1 Sc4'
_cell_length_a 5.033
_cell_length_b 5.033
_cell_length_c 9.047
_cell_angle_alpha 90.00
_cell_angle_beta 90.00
_cell_angle_gamma 90.00
_space_group_name_H-M_alt 'P 4/m m m'
_space_group_IT_number 123
_space_group_name_Hall '-P 4 2'
loop_
_atom_site_label
_atom_site_fract_x
_atom_site_fract_y
_atom_site_fract_z
Pr1 0.000 0.000 0.000
Y1 0.000 0.000 0.500
Y2 0.500 0.500 0.000
Th1 0.500 0.500 0.500
Sc1 0.000 0.500 0.255
```

D(E_F)   11.54 states/eV/f.u.
Calculated volume   28.65 Å³/atom
Energy relative to the elements   0.046 eV per atom

=====

[4]
DFT (PBE) results for a relaxed structure of ZnAs2SeCl.

Geometry as CIF:
```
data_ZnAs2SeCl
_chemical_formula_sum 'Zn1 As2 Se1 Cl1'
_cell_length_a 5.105
_cell_length_b 5.105
_cell_length_c 5.159
_cell_angle_alpha 90.00
_cell_angle_beta 90.00
_cell_angle_gamma 90.00
_space_group_name_H-M_alt 'P 4/m m m'
_space_group_IT_number 123
_space_group_name_Hall '-P 4 2'
loop_
_atom_site_label
_atom_site_fract_x
_atom_site_fract_y
_atom_site_fract_z
Zn1 0.000 0.000 0.000
As1 0.000 0.500 0.500
Se1 0.500 0.500 0.500
Cl1 0.500 0.500 0.000
```

Uncorrected energy   -2.49 eV/atom
D(E_F)   3.99 states/eV/f.u.
Calculated volume   26.89 Å³/atom

=====

[5]
DFT (PBE) results for a relaxed structure of ZnCd2CoGe.

Geometry as CIF:
```
data_ZnCd2CoGe
_chemical_formula_sum 'Zn1 Cd2 Co1 Ge1'
_cell_length_a 4.925
_cell_length_b 4.925
_cell_length_c 4.567
_cell_angle_alpha 90.00
_cell_angle_beta 90.00
_cell_angle_gamma 90.00
_space_group_name_H-M_alt 'P 4/m m m'
_space_group_IT_number 123
_space_group_name_Hall '-P 4 2'
loop_
_atom_site_label
_atom_site_fract_x
_atom_site_fract_y
_atom_site_fract_z
Zn1 0.000 0.000 0.000
Cd1 0.000 0.500 0.500
Co1 0.000 0.000 0.500
Ge1 0.500 0.500 0.000
```

D(E_F)   3.25 states/eV/f.u.
Calculated volume   22.16 Å³/atom
Energy relative to the elements   0.562 eV per atom

=====

[6]
DFT (PBE) results for a relaxed structure of TcAu.

Geometry as CIF:
```
data_TcAu
_chemical_formula_sum 'Tc4 Au4'
_cell_length_a 3.994
_cell_length_b 3.994
_cell_length_c 8.002
_cell_angle_alpha 90.00
_cell_angle_beta 90.00
_cell_angle_gamma 90.00
_space_group_name_H-M_alt 'I 41/a m d'
_space_group_IT_number 141
loop_
_space_group_symop_operation_xyz
'x,y,z'
'-x,-y,-z'
'-y+1/4,x+3/4,z+1/4'
'y+1/4,-x+3/4,-z+1/4'
'-x+1/2,-y,z+1/2'
'x+1/2,y,-z+1/2'
'y+1/4,-x+1/4,z+3/4'
'-y+1/4,x+1/4,-z+3/4'
'x,-y,-z'
'-x,y,z'
'-y+1/4,-x+1/4,-z+3/4'
'y+1/4,x+1/4,z+3/4'
'-x+1/2,y,-z+1/2'
'x+1/2,-y,z+1/2'
'y+1/4,x+3/4,-z+1/4'
'-y+1/4,-x+3/4,z+1/4'
'x+1/2,y+1/2,z+1/2'
'-x+1/2,-y+1/2,-z+1/2'
'-y+3/4,x+1/4,z+3/4'
'y+3/4,-x+1/4,-z+3/4'
'-x,-y+1/2,z'
'x,y+1/2,-z'
'y+3/4,-x+3/4,z+1/4'
'-y+3/4,x+3/4,-z+1/4'
'x+1/2,-y+1/2,-z+1/2'
'-x+1/2,y+1/2,z+1/2'
'-y+3/4,-x+3/4,-z+1/4'
'y+3/4,x+3/4,z+1/4'
'-x,y+1/2,-z'
'x,-y+1/2,z'
'y+3/4,x+1/4,-z+3/4'
'-y+3/4,-x+1/4,z+3/4'
loop_
_atom_site_label
_atom_site_fract_x
_atom_site_fract_y
_atom_site_fract_z
Tc1 0.000 0.250 0.375
Au1 0.000 0.250 0.875
```

D(E_F)   1.82 states/eV/f.u.
Calculated volume   15.95 Å³/atom
Energy relative to the elements   0.340 eV per atom

=====

| no. | magnetization (Bohr magnetons per cell) |
| --- | --- |
| 1 | 2.67 |
| 2 | 13.16 |
| 3 | 0.00 |
| 4 | 0.99 |
| 5 | 0.82 |
| 6 | 0.00 |